Entry 1:
The following is a DFT calculation (PBE) of crystalline Ce4Sm2Bi3H2 at its relaxed geometry.

Calculated values
- final energy (eV per atom) = -5.22
- density (g/cm3) = 8.6

Cell lengths 4.5833, 4.5833, 14.1120 Å; angles 99.35, 99.35, 90.00 degrees
Last column: nearest neighbours and their distance in Å.
Positions (direct):
Ce: 0.4146 0.9146 0.8292  2 H 2.33
Ce: 0.9146 0.4146 0.8292  2 H 2.33
Ce: 0.0854 0.5854 0.1708  2 H 2.33
Ce: 0.5854 0.0854 0.1708  2 H 2.33
Sm: 0.2964 0.2964 0.5928  5 Bi 3.26-3.32
Sm: 0.7036 0.7036 0.4072  5 Bi 3.26-3.32
Bi: 0.0000 0.0000 0.0000  8 Ce 3.28
Bi: 0.1777 0.1777 0.3554  5 Sm 3.26-3.32, 4 Ce 3.42
Bi: 0.8223 0.8223 0.6446  5 Sm 3.26-3.32, 4 Ce 3.42
H: 0.4298 0.4298 0.8596  4 Ce 2.33
H: 0.5702 0.5702 0.1404  4 Ce 2.33

---

Entry 2:
The following is a DFT calculation (PBE) of crystalline Cr2Pd2Rh at its relaxed geometry.

Calculated values
- excess energy over the best structure of this formula in the dataset (meV/atom) = 83
- density (g/cm3) = 9.4
- formation energy from the elements (eV/atom) = 0.323

Cell lengths 3.6923, 3.6923, 6.0207 Å; angles 72.14, 72.14, 90.00 degrees
Last column: nearest neighbours and their distance in Å.
Positions (direct):
Cr: 0.4131 0.4131 0.1738  1 Cr 1.89
Cr: 0.5869 0.5869 0.8262  1 Cr 1.89
Rh: 0.0000 0.0000 0.0000  8 Cr 2.78
Pd: 0.7500 0.2500 0.5000  4 Cr 2.56, 4 Pd 2.61
Pd: 0.2500 0.7500 0.5000  4 Cr 2.56, 4 Pd 2.61

---

Entry 3:
The following is a DFT calculation (PBE) of crystalline TbPrSi at its relaxed geometry.

Calculated values
- excess energy over the best structure of this formula in the dataset (meV/atom) = 185
- uncorrected formation energy (eV/atom) = -0.31
- density (g/cm3) = 6.6

Cell lengths 4.2863, 4.7182, 4.7182 Å; angles 120.00, 90.00, 90.00 degrees
Last column: nearest neighbours and their distance in Å.
Positions (direct):
Pr: 0.7016 0.6667 0.3333  3 Si 3.13, 3 Tb 3.38
Si: 0.0619 0.0000 0.0000  3 Tb 2.83, 3 Pr 3.13
Tb: 0.2365 0.3333 0.6667  3 Si 2.83

---

Question: What is the density in the third record?
Answer: 6.6 g/cm3

---

Question: Among the records above, which one has the highest density?
Answer: Cr2Pd2Rh